Ga3SeS2 (PBE-GGA, relaxed); ΔE_f (raw) = -0.3628 eV per atom; DOS(E_F) = 2.62 states/eV per cell; E_tot = -23.0 eV per formula unit
1.0
-1.916 5.347 3.476
1.916 -5.347 3.476
1.916 5.347 -3.476
Ga Se S
3 1 2
Direct
0.000 0.000 0.000
0.475 0.107 0.368
0.739 0.107 0.632
0.209 0.709 0.500
0.023 0.833 0.190
0.643 0.833 0.810